DFT (PBE+U) results for an optimized crystal structure of VRe3O.

```
data_VRe3O
_chemical_formula_sum 'V1 Re3 O1'
_symmetry_space_group_name_H-M 'P m -3 m'
_symmetry_Int_Tables_number 221
_symmetry_space_group_name_Hall '-P 4 2 3'
_cell_length_a 4.0685
_cell_length_b 4.0685
_cell_length_c 4.0685
_cell_angle_alpha 90.00
_cell_angle_beta 90.00
_cell_angle_gamma 90.00
loop_
_atom_site_label
_atom_site_fract_x
_atom_site_fract_y
_atom_site_fract_z
V1 0.0000 0.0000 0.0000
Re1 0.0000 0.5000 0.5000
O1 0.5000 0.5000 0.5000
```

Values from the calculation:
D(E_F) = 4.3 states/eV per cell
Final energy = -9.336 eV per atom
Offset from the most stable computed form = 0.000 eV per atom